# 1
First-principles (PBE) data for an optimized crystal structure of Ho3Tm6Th, as listed in Alexandria.

Properties
Energy above the most stable polymorph in this dataset   0 meV/atom
M_tot   0.000 μB/f.u.
Formation energy from the elements   0.15 eV per atom

Unit cell a=8.868 b=8.868 c=8.875 alpha=90.00 beta=90.00 gamma=116.68
Positions (direct):
Ho 0.051 0.949 0.500
Ho 0.180 0.471 0.011
Ho 0.471 0.180 0.511
Ho 0.529 0.820 0.011
Ho 0.820 0.529 0.511
Ho 0.949 0.051 0.000
Tm 0.031 0.327 0.355
Tm 0.197 0.314 0.684
Tm 0.216 0.784 0.241
Tm 0.314 0.197 0.184
Tm 0.327 0.031 0.855
Tm 0.446 0.554 0.372
Tm 0.554 0.446 0.872
Tm 0.673 0.969 0.355
Tm 0.686 0.803 0.684
Tm 0.784 0.216 0.741
Tm 0.803 0.686 0.184
Tm 0.969 0.673 0.855
Th 0.277 0.723 0.606
Th 0.723 0.277 0.106

---

# 2
First-principles (PBE) data for an optimized crystal structure of HoTm5Th, as listed in Alexandria.

Properties
Energy above the most stable polymorph in this dataset   102 meV/atom
M_tot   0.000 μB/f.u.
Formation energy from the elements   0.30 eV per atom

Unit cell a=6.937 b=6.937 c=6.937 alpha=124.48 beta=124.06 gamma=82.74
Positions (direct):
Ho 0.000 0.000 0.000
Tm 0.349 0.120 0.771
Tm 0.349 0.578 0.229
Tm 0.424 0.652 0.771
Tm 0.599 0.099 0.500
Tm 0.881 0.652 0.229
Th 0.892 0.392 0.500

---

# 3
First-principles (PBE) data for an optimized crystal structure of Ho12Tm2Th5, as listed in Alexandria.

Properties
M_tot   0.000 μB/f.u.
Formation energy from the elements   0.22 eV per atom

Unit cell a=9.957 b=9.957 c=10.139 alpha=111.92 beta=111.92 gamma=41.40
Positions (direct):
Ho 0.005 0.005 0.322
Ho 0.085 0.581 0.485
Ho 0.097 0.589 0.138
Ho 0.411 0.903 0.862
Ho 0.419 0.915 0.515
Ho 0.474 0.474 0.765
Ho 0.526 0.526 0.235
Ho 0.581 0.085 0.485
Ho 0.589 0.097 0.138
Ho 0.903 0.411 0.862
Ho 0.915 0.419 0.515
Ho 0.995 0.995 0.678
Tm 0.215 0.785 0.000
Tm 0.785 0.215 0.000
Th 0.178 0.178 0.208
Th 0.315 0.315 0.820
Th 0.500 0.500 0.500
Th 0.685 0.685 0.180
Th 0.822 0.822 0.792

---

# 4
First-principles (PBE) data for an optimized crystal structure of Ho6TmTh, as listed in Alexandria.

Properties
Energy above the most stable polymorph in this dataset   187 meV/atom
M_tot   0.000 μB/f.u.
Formation energy from the elements   0.22 eV per atom

Unit cell a=6.530 b=6.638 c=6.713 alpha=60.48 beta=84.68 gamma=87.21
Positions (direct):
Ho 0.240 0.059 0.031
Ho 0.248 0.027 0.532
Ho 0.253 0.559 0.017
Ho 0.747 0.441 0.983
Ho 0.752 0.973 0.468
Ho 0.760 0.941 0.969
Tm 0.000 0.500 0.500
Th 0.500 0.500 0.500

---

# 5
First-principles (PBE) data for an optimized crystal structure of Ho2Tm3Th3, as listed in Alexandria.

Properties
Energy above the most stable polymorph in this dataset   107 meV/atom
M_tot   0.000 μB/f.u.
Formation energy from the elements   0.14 eV per atom

Unit cell a=8.357 b=8.357 c=8.357 alpha=138.85 beta=138.44 gamma=59.92
Positions (direct):
Ho 0.246 0.246 0.000
Ho 0.754 0.754 0.000
Tm 0.373 0.873 0.500
Tm 0.500 0.500 0.000
Tm 0.627 0.127 0.500
Th 0.000 0.000 0.000
Th 0.115 0.615 0.500
Th 0.885 0.385 0.500

---

# 6
First-principles (PBE) data for an optimized crystal structure of Ho7Tm12Th, as listed in Alexandria.

Properties
Energy above the most stable polymorph in this dataset   0 meV/atom
M_tot   0.001 μB/f.u.
Formation energy from the elements   0.24 eV per atom

Unit cell a=8.603 b=8.603 c=8.603 alpha=88.99 beta=88.99 gamma=88.99
Positions (direct):
Ho 0.000 0.000 0.000
Ho 0.119 0.345 0.453
Ho 0.345 0.453 0.119
Ho 0.453 0.119 0.345
Ho 0.547 0.881 0.655
Ho 0.655 0.547 0.881
Ho 0.881 0.655 0.547
Tm 0.002 0.645 0.119
Tm 0.119 0.002 0.645
Tm 0.216 0.637 0.758
Tm 0.242 0.784 0.363
Tm 0.355 0.881 0.998
Tm 0.363 0.242 0.784
Tm 0.637 0.758 0.216
Tm 0.645 0.119 0.002
Tm 0.758 0.216 0.637
Tm 0.784 0.363 0.242
Tm 0.881 0.998 0.355
Tm 0.998 0.355 0.881
Th 0.500 0.500 0.500

---

# 7
First-principles (PBE) data for an optimized crystal structure of Ho3Tm8Th2, as listed in Alexandria.

Properties
Energy above the most stable polymorph in this dataset   113 meV/atom
M_tot   0.000 μB/f.u.
Formation energy from the elements   0.28 eV per atom

Unit cell a=10.944 b=10.944 c=5.578 alpha=90.00 beta=90.00 gamma=141.08
Positions (direct):
Ho 0.000 0.000 0.000
Ho 0.274 0.274 0.500
Ho 0.726 0.726 0.500
Tm 0.139 0.861 0.500
Tm 0.171 0.391 0.000
Tm 0.336 0.664 0.500
Tm 0.391 0.171 0.000
Tm 0.609 0.829 0.000
Tm 0.664 0.336 0.500
Tm 0.829 0.609 0.000
Tm 0.861 0.139 0.500
Th 0.245 0.755 0.000
Th 0.755 0.245 0.000

---

# 8
First-principles (PBE) data for an optimized crystal structure of HoTm8Th6, as listed in Alexandria.

Properties
M_tot   0.001 μB/f.u.
Formation energy from the elements   0.27 eV per atom

Unit cell a=9.543 b=9.543 c=6.210 alpha=90.00 beta=90.00 gamma=120.00
Positions (direct):
Ho 0.000 0.000 0.000
Tm 0.018 0.689 0.582
Tm 0.311 0.329 0.582
Tm 0.329 0.018 0.418
Tm 0.333 0.667 0.394
Tm 0.667 0.333 0.606
Tm 0.671 0.982 0.582
Tm 0.689 0.671 0.418
Tm 0.982 0.311 0.418
Th 0.123 0.434 0.933
Th 0.311 0.877 0.933
Th 0.434 0.311 0.067
Th 0.566 0.689 0.933
Th 0.689 0.123 0.067
Th 0.877 0.566 0.067